Entry 1:
Material: Ho3Ga2Au4
Method: DFT, PBE
State: optimized geometry

Magnetization (μB per cell): 0.00

a b c (Å): 10.6433 4.5652 8.6869
angles (deg): 90.00 116.06 90.00
Closest atoms and distances in Å follow each position.
Space group C2/m (No. 12)
Unique sites:
Ho 0.0000 0.0000 0.0000 x2  8 Au 3.10-3.33, 4 Ga 3.34
Ho 0.1524 0.5000 0.6819 x4  8 Au 3.05-3.26, 4 Ga 3.12-3.17, 1 Ho 3.39
Ga 0.1378 0.5000 0.3097 x4  3 Au 2.59
Au 0.0768 0.0000 0.4001 x4  2 Ga 2.59, 1 Au 2.86
Au 0.2147 0.5000 0.0658 x4  1 Ga 2.59, 2 Au 2.80

***

Entry 2:
Material: La2ScCdIr
Method: DFT, PBE
State: optimized geometry

Energy above the most stable polymorph in this dataset (eV per atom): 0.0000
Magnetization (μB per cell): 0.00

a b c (Å): 5.6227 5.6227 5.0999
angles (deg): 90.00 90.00 90.00
Closest atoms and distances in Å follow each position.
Space group P4/mmm (No. 123)
Unique sites:
La 0.0000 0.5000 0.0000 x2  2 Ir 2.81
Sc 0.0000 0.0000 0.5000 x1  2 Ir 2.55
Cd 0.5000 0.5000 0.5000 x1  8 La 3.80, 4 Sc 3.98
Ir 0.0000 0.0000 0.0000 x1  2 Sc 2.55, 4 La 2.81

***

Entry 3:
Material: Lu2AlPt
Method: DFT, PBE
State: optimized geometry

Energy above the most stable polymorph in this dataset (eV per atom): 0.0000
Magnetization (μB per cell): 0.00

a b c (Å): 3.5127 3.5127 6.8026
angles (deg): 90.00 90.00 90.00
Closest atoms and distances in Å follow each position.
Space group P4/mmm (No. 123)
Unique sites:
Lu 0.0000 0.0000 0.2372 x2  4 Pt 2.96, 4 Al 3.06, 1 Lu 3.23
Al 0.5000 0.5000 0.5000 x1  8 Lu 3.06, 2 Pt 3.40
Pt 0.5000 0.5000 0.0000 x1  8 Lu 2.96

***

Energy of formation from the pure elements readings, ordered: -0.80; -0.35; -0.86 eV/atom
Density of states at the Fermi level readings, ordered: 9.2; 5.4; 2.4 states/eV per cell
Mass density readings, ordered: 12456; 6461; 11316 kg/m3